[1]
A plane-wave DFT calculation with PBE-GGA was carried out for a geometry-optimized Cu2SiAu6 structure.

Lattice parameters (Å, degrees): 5.5061 5.5061 12.4063 90.00 90.00 90.00
With the nearest neighbours (Å) after each atom.
Element x y z (fractional)
Au (0.6817, 0.6817, 0.8387)  1 Si 2.45, 2 Cu 2.48-2.56
Au (0.6885, 0.6885, 0.5000)  1 Si 2.43, 2 Cu 2.54
Au (0.1817, 0.8183, 0.3387)  1 Si 2.45, 2 Cu 2.48-2.56
Au (0.8115, 0.1885, 0.0000)  1 Si 2.43, 2 Cu 2.54
Au (0.3183, 0.3183, 0.8387)  1 Si 2.45, 2 Cu 2.48-2.56
Au (0.8183, 0.1817, 0.6613)  1 Si 2.45, 2 Cu 2.48-2.56
Au (0.1817, 0.8183, 0.6613)  1 Si 2.45, 2 Cu 2.48-2.56
Au (0.3115, 0.3115, 0.5000)  1 Si 2.43, 2 Cu 2.54
Au (0.6817, 0.6817, 0.1613)  1 Si 2.45, 2 Cu 2.48-2.56
Au (0.1885, 0.8115, 0.0000)  1 Si 2.43, 2 Cu 2.54
Au (0.3183, 0.3183, 0.1613)  1 Si 2.45, 2 Cu 2.48-2.56
Au (0.8183, 0.1817, 0.3387)  1 Si 2.45, 2 Cu 2.48-2.56
Si (0.0000, 0.0000, 0.5000)  6 Au 2.43-2.45
Si (0.5000, 0.5000, 0.0000)  6 Au 2.43-2.45
Cu (0.0000, 0.0000, 0.1672)  6 Au 2.48-2.56
Cu (0.5000, 0.5000, 0.3328)  6 Au 2.48-2.56
Cu (0.5000, 0.5000, 0.6672)  6 Au 2.48-2.56
Cu (0.0000, 0.0000, 0.8328)  6 Au 2.48-2.56

Final energy (eV per atom): -3.378
Symmetry: No. 136

***

[2]
A plane-wave DFT calculation with PBE-GGA was carried out for a geometry-optimized Cs2Np2NbS6 structure.

Lattice parameters (Å, degrees): 6.7262 6.7262 8.5940 97.64 97.64 119.60
With the nearest neighbours (Å) after each atom.
Element x y z (fractional)
S (0.3757, 0.0607, 0.6766)  1 Nb 2.58, 2 Np 2.73
S (0.9393, 0.6243, 0.3234)  1 Nb 2.58, 2 Np 2.73
S (0.2554, 0.2554, 0.3244)  1 Nb 2.58, 2 Np 2.73
S (0.7446, 0.7446, 0.6756)  1 Nb 2.58, 2 Np 2.73
S (0.0607, 0.3757, 0.6766)  1 Nb 2.58, 2 Np 2.73
S (0.6243, 0.9393, 0.3234)  1 Nb 2.58, 2 Np 2.73
Cs (0.1681, 0.8319, 0.0000)  6 S 3.47-3.56, 2 Cs 3.88
Cs (0.8319, 0.1681, 0.0000)  6 S 3.47-3.56, 2 Cs 3.88
Np (0.6667, 0.3333, 0.5000)  6 S 2.73
Np (0.3333, 0.6667, 0.5000)  6 S 2.73
Nb (0.0000, 0.0000, 0.5000)  6 S 2.58

Final energy (eV per atom): -6.947
Symmetry: No. 12

***

[3]
A plane-wave DFT calculation with PBE-GGA was carried out for a geometry-optimized TaBe2Fe structure.

Lattice parameters (Å, degrees): 4.2451 4.2451 2.6678 90.01 90.01 101.65
With the nearest neighbours (Å) after each atom.
Element x y z (fractional)
Fe (0.5000, 0.0000, 0.5000)  8 Be 2.51, 2 Fe 2.67, 2 Ta 2.68
Be (0.0000, 0.0000, 0.0000)  4 Fe 2.51, 4 Ta 2.51, 4 Be 2.67-2.68
Be (0.5000, 0.5000, 0.0000)  4 Ta 2.51, 4 Fe 2.51, 4 Be 2.67-2.68
Ta (0.0000, 0.5000, 0.5000)  8 Be 2.51, 2 Ta 2.67, 2 Fe 2.68

Energy above the most stable polymorph in this dataset (meV per atom): 222.6
Symmetry: No. 65
ΔE_f (eV per atom): 0.136

***

[4]
A plane-wave DFT calculation with PBE-GGA was carried out for a geometry-optimized La2BeTlCo structure.

Lattice parameters (Å, degrees): 5.2915 5.2915 4.3947 90.00 90.00 90.00
With the nearest neighbours (Å) after each atom.
Element x y z (fractional)
Tl (0.5000, 0.5000, 0.5000)  8 La 3.44, 4 Be 3.74
Co (0.0000, 0.0000, 0.0000)  2 Be 2.20
La (0.0000, 0.5000, 0.0000)  2 Co 2.65
La (0.5000, 0.0000, 0.0000)  2 Co 2.65
Be (0.0000, 0.0000, 0.5000)  2 Co 2.20

Symmetry: No. 123
ΔE_f (eV per atom): -0.121

***

[5]
A plane-wave DFT calculation with PBE-GGA was carried out for a geometry-optimized PmEr2Au structure.

Lattice parameters (Å, degrees): 4.7456 4.7297 4.7297 90.00 90.00 90.00
With the nearest neighbours (Å) after each atom.
Element x y z (fractional)
Er (0.0000, 0.0000, 0.5000)  4 Er 3.34, 4 Pm 3.35, 4 Au 3.35
Er (0.0000, 0.5000, 0.0000)  4 Er 3.34, 4 Pm 3.35, 4 Au 3.35
Au (0.5000, 0.0000, 0.0000)  4 Pm 3.34, 8 Er 3.35
Pm (0.5000, 0.5000, 0.5000)  4 Au 3.34, 8 Er 3.35

Energy above the most stable polymorph in this dataset (meV per atom): 180.2
Symmetry: No. 123
ΔE_f (eV per atom): -0.238

***

[6]
A plane-wave DFT calculation with PBE-GGA was carried out for a geometry-optimized TlCo2P structure.

Lattice parameters (Å, degrees): 5.1415 5.1415 5.1415 139.11 139.11 59.21
With the nearest neighbours (Å) after each atom.
Element x y z (fractional)
Co (0.0000, 0.0000, 0.0000)  4 P 2.54
Co (0.2500, 0.7500, 0.5000)  4 Tl 2.54
P (0.5000, 0.5000, 0.0000)  4 Co 2.54
Tl (0.7500, 0.2500, 0.5000)  4 Co 2.54

Symmetry: No. 119
ΔE_f (eV per atom): 0.565

***

no.,magnetic moment (μB per cell),D(E_F) (states/eV/atom)
1,0.00,0.4810
2,9.01,2.0069
3,2.02,0.6322
4,0.00,0.5363
5,0.00,1.3708
6,0.50,1.2516